Material: ThNi2PH
Method: DFT, PBE
State: optimized geometry

```
ThNi2PH
1.0
-0.256 -3.688 -0.148
3.525 -0.288 1.085
-3.128 1.897 4.363
Th Ni P H
1 2 1 1
direct
0.506 0.506 0.012
0.771 0.271 0.542
0.271 0.771 0.542
0.137 0.137 0.274
0.815 0.815 0.630
```

Calculated values
As for the density of states at the Fermi level: 3.7 states/eV/cell. The raw total energy comes out at -6.164 eV per atom.


Material: ZnCuAg5
Method: DFT, PBE
State: optimized geometry

```
ZnCuAg5
1.0
6.715 -0.804 0.196
1.368 6.623 0.196
3.114 2.242 6.281
Zn Cu Ag
2 2 10
direct
0.528 0.472 0.250
0.472 0.528 0.750
0.000 0.000 0.000
0.000 0.000 0.500
0.619 0.795 0.330
0.177 0.611 0.485
0.795 0.619 0.830
0.806 0.194 0.250
0.389 0.823 0.015
0.611 0.177 0.985
0.194 0.806 0.750
0.205 0.381 0.170
0.823 0.389 0.515
0.381 0.205 0.670
```

Calculated values
As for the density of states at the Fermi level: 4.7 states/eV/cell. The formation energy is 287 meV per atom.